(1)
# Li4Ga4Pd3

Li4Ga4Pd3 after structural relaxation (PBE, the Alexandria database).

Properties
Uncorrected energy, eV/atom: -3.7002
N(E_F), states/eV/cell: 4.458
Crystal system: orthorhombic

POSCAR file:
```
Li4Ga4Pd3
1.0
-1.4139 3.6527 8.3283
1.4139 -3.6527 8.3283
1.4139 3.6527 -8.3283
Li Ga Pd
4 4 3
direct
0.0304 0.8526 0.1778
0.3251 0.1474 0.1778
0.6749 0.8526 0.8222
0.9696 0.1474 0.8222
0.2664 0.7664 0.5000
0.2956 0.0000 0.2956
0.7044 0.0000 0.7044
0.7336 0.2336 0.5000
0.0000 0.5000 0.5000
0.3990 0.3990 0.0000
0.6010 0.6010 0.0000
```

(2)
# Bi3PdAu

Bi3PdAu after structural relaxation (PBE, the Alexandria database).

Properties
Uncorrected energy, eV/atom: -4.0941
Polymorph energy (0 for the lowest one), kJ per mole of atoms: 0.00
N(E_F), states/eV/cell: 3.828
Crystal system: monoclinic

POSCAR file:
```
Bi3PdAu
1.0
4.7873 -3.3523 0.0000
4.7873 3.3523 0.0000
-4.2680 0.0000 7.9454
Bi Pd Au
6 2 2
direct
0.0311 0.0311 0.2690
0.2874 0.2874 0.1045
0.2954 0.2954 0.6893
0.7046 0.7046 0.3107
0.7126 0.7126 0.8955
0.9689 0.9689 0.7310
0.2807 0.7193 0.0000
0.7193 0.2807 0.0000
0.2991 0.7009 0.5000
0.7009 0.2991 0.5000
```

no.,calculated volume (Å³/cell)
1,172.0
2,255.0